Entry 1:
# BaAcUN4 (PBE, optimized geometry)
# crystal system = orthorhombic
# ΔE_f (raw) = -1.0453 eV per atom
# VASP energy = -8.277 eV/atom
data_BaAcUN4
_chemical_formula_sum 'Ba4 Ac4 U4 N16'
_symmetry_space_group_name_H-M 'C m c m'
_symmetry_Int_Tables_number 63
_symmetry_space_group_name_Hall '-C 2c 2'
_cell_length_a 6.1662
_cell_length_b 13.3396
_cell_length_c 6.1749
_cell_angle_alpha 90.00
_cell_angle_beta 90.00
_cell_angle_gamma 90.00
loop_
_atom_site_label
_atom_site_fract_x
_atom_site_fract_y
_atom_site_fract_z
Ba1 0.0000 0.1009 0.2500
Ac1 0.0000 0.3917 0.2500
U1 0.0000 0.2531 0.7500
N1 0.0000 0.1009 0.7500
N2 0.0000 0.4141 0.7500
N3 0.2500 0.2500 0.0000


Entry 2:
# BaAc2UN4 (PBE, optimized geometry)
# crystal system = orthorhombic
# ΔE_f (raw) = -0.9069 eV per atom
# VASP energy = -7.748 eV/atom
data_BaAc2UN4
_chemical_formula_sum 'Ba4 Ac8 U4 N16'
_symmetry_space_group_name_H-M 'C m c m'
_symmetry_Int_Tables_number 63
_symmetry_space_group_name_Hall '-C 2c 2'
_cell_length_a 3.8785
_cell_length_b 13.3919
_cell_length_c 13.4431
_cell_angle_alpha 90.00
_cell_angle_beta 90.00
_cell_angle_gamma 90.00
loop_
_atom_site_label
_atom_site_fract_x
_atom_site_fract_y
_atom_site_fract_z
Ba1 0.0000 0.1005 0.2500
Ac1 0.0000 0.3724 0.0325
U1 0.0000 0.1688 0.7500
N1 0.0000 0.0000 0.0000
N2 0.0000 0.2634 0.6241
N3 0.0000 0.4156 0.2500


Entry 3:
# Ba2Ac3UN6 (PBE, optimized geometry)
# crystal system = monoclinic
# ΔE_f (raw) = -1.0132 eV per atom
# VASP energy = -7.464 eV/atom
data_Ba2Ac3UN6
_chemical_formula_sum 'Ba4 Ac6 U2 N12'
_symmetry_space_group_name_H-M 'C 1 2/m 1'
_symmetry_Int_Tables_number 12
_cell_length_a 6.6715
_cell_length_b 11.9437
_cell_length_c 6.5070
_cell_angle_alpha 90.00
_cell_angle_beta 109.15
_cell_angle_gamma 90.00
loop_
_symmetry_equiv_pos_as_xyz
'x,y,z'
'-x,-y,-z'
'-x,y,-z'
'x,-y,z'
'x+1/2,y+1/2,z'
'-x+1/2,-y+1/2,-z'
'-x+1/2,y+1/2,-z'
'x+1/2,-y+1/2,z'
loop_
_atom_site_label
_atom_site_fract_x
_atom_site_fract_y
_atom_site_fract_z
Ba1 0.0000 0.1693 0.0000
Ac1 0.0000 0.0000 0.5000
Ac2 0.0000 0.3453 0.5000
U1 0.0000 0.5000 0.0000
N1 0.1995 0.5000 0.7419
N2 0.2014 0.3758 0.2195


Entry 4:
# Ba2AcUN4 (PBE, optimized geometry)
# crystal system = monoclinic
# ΔE_f (raw) = -0.9828 eV per atom
# VASP energy = -7.551 eV/atom
data_Ba2AcUN4
_chemical_formula_sum 'Ba2 Ac1 U1 N4'
_symmetry_space_group_name_H-M 'P 1 2/m 1'
_symmetry_Int_Tables_number 10
_cell_length_a 6.5697
_cell_length_b 3.7432
_cell_length_c 6.8052
_cell_angle_alpha 90.00
_cell_angle_beta 109.12
_cell_angle_gamma 90.00
loop_
_symmetry_equiv_pos_as_xyz
'x,y,z'
'-x,-y,-z'
'-x,y,-z'
'x,-y,z'
loop_
_atom_site_label
_atom_site_fract_x
_atom_site_fract_y
_atom_site_fract_z
Ba1 0.0000 0.0000 0.0000
Ba2 0.5000 0.5000 0.0000
Ac1 0.0000 0.5000 0.5000
U1 0.5000 0.0000 0.5000
N1 0.2894 0.0000 0.6771
N2 0.3052 0.5000 0.3206


Entry 5:
# BaAcWN3 (PBE, optimized geometry)
# crystal system = monoclinic
# ΔE_f (raw) = -0.7867 eV per atom
# VASP energy = -8.113 eV/atom
data_BaAcWN3
_chemical_formula_sum 'Ba4 Ac4 W4 N12'
_symmetry_space_group_name_H-M 'C 1 2/m 1'
_symmetry_Int_Tables_number 12
_cell_length_a 14.3588
_cell_length_b 4.1126
_cell_length_c 7.7982
_cell_angle_alpha 90.00
_cell_angle_beta 106.12
_cell_angle_gamma 90.00
loop_
_symmetry_equiv_pos_as_xyz
'x,y,z'
'-x,-y,-z'
'-x,y,-z'
'x,-y,z'
'x+1/2,y+1/2,z'
'-x+1/2,-y+1/2,-z'
'-x+1/2,y+1/2,-z'
'x+1/2,-y+1/2,z'
loop_
_atom_site_label
_atom_site_fract_x
_atom_site_fract_y
_atom_site_fract_z
Ba1 0.1369 0.0000 0.0682
Ac1 0.1551 0.0000 0.5820
W1 0.0010 0.5000 0.2938
N1 0.0034 0.0000 0.2874
N2 0.1405 0.5000 0.7999
N3 0.1477 0.5000 0.3483


Entry 6:
# BaAcWN4 (PBE, optimized geometry)
# crystal system = orthorhombic
# ΔE_f (raw) = -0.7032 eV per atom
# VASP energy = -8.173 eV/atom
data_BaAcWN4
_chemical_formula_sum 'Ba4 Ac4 W4 N16'
_symmetry_space_group_name_H-M 'C m c m'
_symmetry_Int_Tables_number 63
_symmetry_space_group_name_Hall '-C 2c 2'
_cell_length_a 5.7253
_cell_length_b 14.1639
_cell_length_c 5.6762
_cell_angle_alpha 90.00
_cell_angle_beta 90.00
_cell_angle_gamma 90.00
loop_
_atom_site_label
_atom_site_fract_x
_atom_site_fract_y
_atom_site_fract_z
Ba1 0.0000 0.1007 0.2500
Ac1 0.0000 0.3932 0.2500
W1 0.0000 0.2331 0.7500
N1 0.0000 0.1026 0.7500
N2 0.0000 0.4267 0.7500
N3 0.2500 0.2500 0.0000


Entry 7:
# Ba2AcW2N6 (PBE, optimized geometry)
# crystal system = trigonal
# ΔE_f (raw) = -0.6515 eV per atom
# VASP energy = -8.271 eV/atom
data_Ba2AcW2N6
_chemical_formula_sum 'Ba6 Ac3 W6 N18'
_symmetry_space_group_name_H-M 'R -3 m'
_symmetry_Int_Tables_number 166
_symmetry_space_group_name_Hall '-R 3 2"'
_cell_length_a 6.3772
_cell_length_b 6.3772
_cell_length_c 20.2492
_cell_angle_alpha 90.00
_cell_angle_beta 90.00
_cell_angle_gamma 120.00
loop_
_atom_site_label
_atom_site_fract_x
_atom_site_fract_y
_atom_site_fract_z
Ba1 0.0000 0.0000 0.1997
Ac1 0.0000 0.0000 0.0000
W1 0.0000 0.0000 0.4333
N1 0.0009 0.5004 0.2442


Entry 8:
# BaAc2WN4 (PBE, optimized geometry)
# crystal system = orthorhombic
# ΔE_f (raw) = -0.8044 eV per atom
# VASP energy = -7.854 eV/atom
data_BaAc2WN4
_chemical_formula_sum 'Ba4 Ac8 W4 N16'
_symmetry_space_group_name_H-M 'C m c m'
_symmetry_Int_Tables_number 63
_symmetry_space_group_name_Hall '-C 2c 2'
_cell_length_a 3.7076
_cell_length_b 13.3088
_cell_length_c 13.1380
_cell_angle_alpha 90.00
_cell_angle_beta 90.00
_cell_angle_gamma 90.00
loop_
_atom_site_label
_atom_site_fract_x
_atom_site_fract_y
_atom_site_fract_z
Ba1 0.0000 0.0786 0.2500
Ac1 0.0000 0.3698 0.0382
W1 0.0000 0.1846 0.7500
N1 0.0000 0.0000 0.0000
N2 0.0000 0.2628 0.6313
N3 0.0000 0.3820 0.2500


Entry 9:
# Ba2AcWN4 (PBE, optimized geometry)
# crystal system = orthorhombic
# ΔE_f (raw) = -0.8678 eV per atom
# VASP energy = -7.644 eV/atom
data_Ba2AcWN4
_chemical_formula_sum 'Ba4 Ac2 W2 N8'
_symmetry_space_group_name_H-M 'P m n 21'
_symmetry_Int_Tables_number 31
_cell_length_a 7.9586
_cell_length_b 7.5899
_cell_length_c 5.9707
_cell_angle_alpha 90.00
_cell_angle_beta 90.00
_cell_angle_gamma 90.00
loop_
_symmetry_equiv_pos_as_xyz
'x,y,z'
'-x+1/2,-y,z+1/2'
'-x,y,z'
'x+1/2,-y,z+1/2'
loop_
_atom_site_label
_atom_site_fract_x
_atom_site_fract_y
_atom_site_fract_z
Ba1 0.2485 0.1522 0.0000
Ac1 0.0000 0.3645 0.5129
W1 0.0000 0.6576 0.0338
N1 0.0000 0.4163 0.9410
N2 0.0000 0.6546 0.3494
N3 0.2020 0.7759 0.9524


Entry 10:
# BaAcZnN2 (PBE, optimized geometry)
# crystal system = orthorhombic
# ΔE_f (raw) = -0.4321 eV per atom
# VASP energy = -5.223 eV/atom
data_BaAcZnN2
_chemical_formula_sum 'Ba2 Ac2 Zn2 N4'
_symmetry_space_group_name_H-M 'P c c m'
_symmetry_Int_Tables_number 49
_cell_length_a 5.8341
_cell_length_b 5.8696
_cell_length_c 7.3953
_cell_angle_alpha 90.00
_cell_angle_beta 90.00
_cell_angle_gamma 90.00
loop_
_symmetry_equiv_pos_as_xyz
'x,y,z'
'-x,-y,-z'
'-x,-y,z'
'x,y,-z'
'x,-y,-z+1/2'
'-x,y,z+1/2'
'-x,y,-z+1/2'
'x,-y,z+1/2'
loop_
_atom_site_label
_atom_site_fract_x
_atom_site_fract_y
_atom_site_fract_z
Ba1 0.0000 0.0000 0.2500
Ac1 0.5000 0.5000 0.2500
Zn1 0.0000 0.5000 0.0000
N1 0.2524 0.3060 0.0000


Entry 11:
# BaAcZrN3 (PBE, optimized geometry)
# crystal system = monoclinic
# ΔE_f (raw) = -1.1421 eV per atom
# VASP energy = -7.735 eV/atom
data_BaAcZrN3
_chemical_formula_sum 'Ba2 Ac2 Zr2 N6'
_symmetry_space_group_name_H-M 'P 1 21/m 1'
_symmetry_Int_Tables_number 11
_cell_length_a 6.4670
_cell_length_b 3.8834
_cell_length_c 9.2254
_cell_angle_alpha 90.00
_cell_angle_beta 102.65
_cell_angle_gamma 90.00
loop_
_symmetry_equiv_pos_as_xyz
'x,y,z'
'-x,-y,-z'
'-x,y+1/2,-z'
'x,-y+1/2,z'
loop_
_atom_site_label
_atom_site_fract_x
_atom_site_fract_y
_atom_site_fract_z
Ba1 0.1331 0.2500 0.1839
Ac1 0.2619 0.7500 0.5469
Zr1 0.3834 0.2500 0.8579
N1 0.0817 0.2500 0.6719
N2 0.3208 0.7500 0.9448
N3 0.4520 0.7500 0.3161


Entry 12:
# Ba2NaAc (PBE, optimized geometry)
# E above lowest polymorph = 41 meV/atom
# crystal system = tetragonal
# VASP energy = -2.212 eV/atom
# formation enthalpy at 0 K = 0.106 eV/atom
data_Ba2NaAc
_chemical_formula_sum 'Ba2 Na1 Ac1'
_symmetry_space_group_name_H-M 'P 4/m m m'
_symmetry_Int_Tables_number 123
_symmetry_space_group_name_Hall '-P 4 2'
_cell_length_a 6.8774
_cell_length_b 6.8774
_cell_length_c 4.3527
_cell_angle_alpha 90.00
_cell_angle_beta 90.00
_cell_angle_gamma 90.00
loop_
_atom_site_label
_atom_site_fract_x
_atom_site_fract_y
_atom_site_fract_z
Ba1 0.0000 0.5000 0.0000
Na1 0.0000 0.0000 0.5000
Ac1 0.5000 0.5000 0.5000


Entry 13:
# Ba2NaAc (PBE, optimized geometry)
# E above lowest polymorph = 170 meV/atom
# crystal system = trigonal
# VASP energy = -2.083 eV/atom
# formation enthalpy at 0 K = 0.235 eV/atom
data_Ba2NaAc
_chemical_formula_sum 'Ba6 Na3 Ac3'
_symmetry_space_group_name_H-M 'R -3 m'
_symmetry_Int_Tables_number 166
_symmetry_space_group_name_Hall '-R 3 2"'
_cell_length_a 4.0290
_cell_length_b 4.0290
_cell_length_c 43.9921
_cell_angle_alpha 90.00
_cell_angle_beta 90.00
_cell_angle_gamma 120.00
loop_
_atom_site_label
_atom_site_fract_x
_atom_site_fract_y
_atom_site_fract_z
Ba1 0.0000 0.0000 0.0894
Na1 0.0000 0.0000 0.5000
Ac1 0.0000 0.0000 0.0000


Entry 14:
# Ba2NaAc (PBE, optimized geometry)
# E above lowest polymorph = 0 meV/atom
# crystal system = tetragonal
# VASP energy = -2.253 eV/atom
# formation enthalpy at 0 K = 0.065 eV/atom
data_Ba2NaAc
_chemical_formula_sum 'Ba2 Na1 Ac1'
_symmetry_space_group_name_H-M 'P 4/m m m'
_symmetry_Int_Tables_number 123
_symmetry_space_group_name_Hall '-P 4 2'
_cell_length_a 4.1746
_cell_length_b 4.1746
_cell_length_c 11.7659
_cell_angle_alpha 90.00
_cell_angle_beta 90.00
_cell_angle_gamma 90.00
loop_
_atom_site_label
_atom_site_fract_x
_atom_site_fract_y
_atom_site_fract_z
Ba1 0.0000 0.0000 0.2424
Na1 0.5000 0.5000 0.0000
Ac1 0.5000 0.5000 0.5000


Entry 15:
# Ba2NaAc (PBE, optimized geometry)
# E above lowest polymorph = 131 meV/atom
# crystal system = cubic
# VASP energy = -2.122 eV/atom
# formation enthalpy at 0 K = 0.197 eV/atom
data_Ba2NaAc
_chemical_formula_sum 'Ba8 Na4 Ac4'
_symmetry_space_group_name_H-M 'F m -3 m'
_symmetry_Int_Tables_number 225
_symmetry_space_group_name_Hall '-F 4 2 3'
_cell_length_a 9.4401
_cell_length_b 9.4401
_cell_length_c 9.4401
_cell_angle_alpha 90.00
_cell_angle_beta 90.00
_cell_angle_gamma 90.00
loop_
_atom_site_label
_atom_site_fract_x
_atom_site_fract_y
_atom_site_fract_z
Ba1 0.2500 0.2500 0.2500
Na1 0.0000 0.0000 0.0000
Ac1 0.0000 0.0000 0.5000


Entry 16:
# Ba2NaAc (PBE, optimized geometry)
# E above lowest polymorph = 10 meV/atom
# crystal system = trigonal
# VASP energy = -2.243 eV/atom
# formation enthalpy at 0 K = 0.076 eV/atom
data_Ba2NaAc
_chemical_formula_sum 'Ba6 Na3 Ac3'
_symmetry_space_group_name_H-M 'R 3 m'
_symmetry_Int_Tables_number 160
_symmetry_space_group_name_Hall 'R 3 -2"'
_cell_length_a 4.2260
_cell_length_b 4.2260
_cell_length_c 40.1100
_cell_angle_alpha 90.00
_cell_angle_beta 90.00
_cell_angle_gamma 120.00
loop_
_atom_site_label
_atom_site_fract_x
_atom_site_fract_y
_atom_site_fract_z
Ba1 0.0000 0.0000 0.0000
Ba2 0.0000 0.0000 0.1665
Na1 0.0000 0.0000 0.5832
Ac1 0.0000 0.0000 0.7499


Entry 17:
# Ba4NaAc3O8 (PBE, optimized geometry)
# crystal system = trigonal
# ΔE_f (raw) = -2.5293 eV per atom
# VASP energy = -6.342 eV/atom
data_Ba4NaAc3O8
_chemical_formula_sum 'Ba12 Na3 Ac9 O24'
_symmetry_space_group_name_H-M 'R -3 m'
_symmetry_Int_Tables_number 166
_symmetry_space_group_name_Hall '-R 3 2"'
_cell_length_a 7.6692
_cell_length_b 7.6692
_cell_length_c 19.1058
_cell_angle_alpha 90.00
_cell_angle_beta 90.00
_cell_angle_gamma 120.00
loop_
_atom_site_label
_atom_site_fract_x
_atom_site_fract_y
_atom_site_fract_z
Ba1 0.0000 0.0000 0.0000
Ba2 0.0000 0.5000 0.0000
Na1 0.0000 0.0000 0.5000
Ac1 0.0000 0.5000 0.5000
O1 0.0000 0.0000 0.2386
O2 0.0157 0.5078 0.7596


Entry 18:
# Ba3NaAc3O8 (PBE, optimized geometry)
# crystal system = trigonal
# ΔE_f (raw) = -2.6165 eV per atom
# VASP energy = -6.555 eV/atom
data_Ba3NaAc3O8
_chemical_formula_sum 'Ba9 Na3 Ac9 O24'
_symmetry_space_group_name_H-M 'R -3 m'
_symmetry_Int_Tables_number 166
_symmetry_space_group_name_Hall '-R 3 2"'
_cell_length_a 7.5519
_cell_length_b 7.5519
_cell_length_c 18.8610
_cell_angle_alpha 90.00
_cell_angle_beta 90.00
_cell_angle_gamma 120.00
loop_
_atom_site_label
_atom_site_fract_x
_atom_site_fract_y
_atom_site_fract_z
Ba1 0.0000 0.5000 0.0000
Na1 0.0000 0.0000 0.5000
Ac1 0.0000 0.5000 0.5000
O1 0.0000 0.0000 0.2436
O2 0.0010 0.5005 0.7630


Entry 19:
# BaNaAc2O5 (PBE, optimized geometry)
# crystal system = tetragonal
# ΔE_f (raw) = -2.5189 eV per atom
# VASP energy = -6.547 eV/atom
data_BaNaAc2O5
_chemical_formula_sum 'Ba4 Na4 Ac8 O20'
_symmetry_space_group_name_H-M 'I 4/m c m'
_symmetry_Int_Tables_number 140
_symmetry_space_group_name_Hall '-I 4 2c'
_cell_length_a 7.1583
_cell_length_b 7.1583
_cell_length_c 12.4932
_cell_angle_alpha 90.00
_cell_angle_beta 90.00
_cell_angle_gamma 90.00
loop_
_atom_site_label
_atom_site_fract_x
_atom_site_fract_y
_atom_site_fract_z
Ba1 0.0000 0.0000 0.2500
Na1 0.0000 0.5000 0.2500
Ac1 0.1668 0.3332 0.0000
O1 0.0000 0.0000 0.0000
O2 0.1534 0.3466 0.3756


Entry 20:
# BaNaAcPt (PBE, optimized geometry)
# crystal system = tetragonal
# VASP energy = -3.717 eV/atom
# formation enthalpy at 0 K = -0.369 eV/atom
data_BaNaAcPt
_chemical_formula_sum 'Ba2 Na2 Ac2 Pt2'
_symmetry_space_group_name_H-M 'P 4/n m m'
_symmetry_Int_Tables_number 129
_cell_length_a 5.1077
_cell_length_b 5.1077
_cell_length_c 13.5480
_cell_angle_alpha 90.00
_cell_angle_beta 90.00
_cell_angle_gamma 90.00
loop_
_symmetry_equiv_pos_as_xyz
'x,y,z'
'-x,-y,-z'
'-y+1/2,x,z'
'y+1/2,-x,-z'
'-x+1/2,-y+1/2,z'
'x+1/2,y+1/2,-z'
'y,-x+1/2,z'
'-y,x+1/2,-z'
'x+1/2,-y,-z'
'-x+1/2,y,z'
'-y,-x,-z'
'y,x,z'
'-x,y+1/2,-z'
'x,-y+1/2,z'
'y+1/2,x+1/2,-z'
'-y+1/2,-x+1/2,z'
loop_
_atom_site_label
_atom_site_fract_x
_atom_site_fract_y
_atom_site_fract_z
Ba1 0.2500 0.2500 0.2459
Na1 0.2500 0.7500 0.5000
Ac1 0.2500 0.7500 0.0000
Pt1 0.2500 0.2500 0.8778


Entry 21:
# BaNaAcRh (PBE, optimized geometry)
# crystal system = monoclinic
# VASP energy = -3.955 eV/atom
# formation enthalpy at 0 K = -0.280 eV/atom
data_BaNaAcRh
_chemical_formula_sum 'Ba2 Na2 Ac2 Rh2'
_symmetry_space_group_name_H-M 'C 1 m 1'
_symmetry_Int_Tables_number 8
_cell_length_a 7.5264
_cell_length_b 4.3473
_cell_length_c 10.4181
_cell_angle_alpha 90.00
_cell_angle_beta 104.06
_cell_angle_gamma 90.00
loop_
_symmetry_equiv_pos_as_xyz
'x,y,z'
'x,-y,z'
'x+1/2,y+1/2,z'
'x+1/2,-y+1/2,z'
loop_
_atom_site_label
_atom_site_fract_x
_atom_site_fract_y
_atom_site_fract_z
Ba1 0.0000 0.0000 0.0000
Na1 0.2203 0.0000 0.6587
Ac1 0.2793 0.5000 0.3344
Rh1 0.3976 0.0000 0.1911